Entry 1:
## Mn4PdRu (PBE)

Data for a relaxed structure of Mn4PdRu.

* density of states at the Fermi level: 24.730 states/eV per cell
* DFT formation energy: 0.69 eV/f.u.

Cell lengths 6.646, 6.646, 6.646 Å; angles 90.00, 90.00, 90.00 degrees
Space group F-43m (No. 216)
Unique sites:
Mn  0.124  0.124  0.124 [16 per cell]
Pd  0.250  0.250  0.750 [4 per cell]
Ru  0.000  0.000  0.500 [4 per cell]

=====

Entry 2:
## CeUS2 (PBE)

Data for a relaxed structure of CeUS2.

* formation energy from raw total energies: -1.549 eV/atom
* density of states at the Fermi level: 24.879 states/eV per cell

Cell lengths 3.8118, 3.8118, 21.2370 Å; angles 90.00, 90.00, 120.00 degrees
Space group R3m (No. 160, hexagonal axes)
Unique sites:
Ce  0.0000  0.0000  0.0000 [3 per cell]
U  0.0000  0.0000  0.8244 [3 per cell]
S  0.0000  0.0000  0.4136 [3 per cell]
S  0.0000  0.0000  0.5772 [3 per cell]

=====

Entry 3:
## Y2ThCr2C4 (PBE)

Data for a relaxed structure of Y2ThCr2C4.

* density of states at the Fermi level: 13.236 states/eV per cell
* DFT formation energy: -0.41 eV/f.u.

Cell lengths 13.240, 3.461, 6.180 Å; angles 90.00, 112.11, 90.00 degrees
Space group C2/m (No. 12)
Unique sites:
Y  0.137  0.000  0.050 [4 per cell]
Th  0.000  0.000  0.500 [2 per cell]
Cr  0.182  0.500  0.481 [4 per cell]
C  0.040  0.500  0.237 [4 per cell]
C  0.218  0.000  0.686 [4 per cell]

=====

Entry 4:
## KBaPmBr6 (PBE)

Data for a relaxed structure of KBaPmBr6.

* formation energy from raw total energies: -1.957 eV/atom
* density of states at the Fermi level: 0.000 states/eV per cell

Cell lengths 8.0580, 8.0580, 13.7447 Å; angles 90.00, 90.00, 120.00 degrees
Space group P-31c (No. 163)
Unique sites:
K  0.0000  0.0000  0.0000 [2 per cell]
Ba  0.3333  0.6667  0.2500 [2 per cell]
Pm  0.3333  0.6667  0.7500 [2 per cell]
Br  0.0337  0.3759  0.6302 [12 per cell]

=====

Entry 5:
## HoInC (PBE)

Data for a relaxed structure of HoInC.

* density of states at the Fermi level: 9.400 states/eV per cell
* DFT formation energy: 0.61 eV/f.u.

Cell lengths 3.5990, 3.5990, 32.8031 Å; angles 90.00, 90.00, 120.00 degrees
Space group R-3m (No. 166, hexagonal axes)
Unique sites:
Ho  0.0000  0.0000  0.1146 [6 per cell]
In  0.0000  0.0000  0.3728 [6 per cell]
C  0.0000  0.0000  0.2534 [6 per cell]

=====

Entry 6:
## TbGaP (PBE)

Data for a relaxed structure of TbGaP.

* density of states at the Fermi level: 2.488 states/eV per cell
* DFT formation energy: -2.41 eV/f.u.

Cell lengths 4.6640, 4.6640, 23.0012 Å; angles 90.00, 90.00, 120.00 degrees
Space group R-3m (No. 166, hexagonal axes)
Unique sites:
Tb  0.0000  0.0000  0.0970 [6 per cell]
Ga  0.0000  0.0000  0.3243 [6 per cell]
P  0.0000  0.0000  0.2182 [6 per cell]

=====

Entry 7:
## Y2HgAu (PBE)

Data for a relaxed structure of Y2HgAu.

* density of states at the Fermi level: 6.681 states/eV per cell
* DFT formation energy: -2.12 eV/f.u.

Cell lengths 8.447, 3.911, 6.871 Å; angles 90.00, 105.29, 90.00 degrees
Space group C2/m (No. 12)
Unique sites:
Y  0.243  0.000  0.233 [4 per cell]
Hg  0.000  0.000  0.500 [2 per cell]
Au  0.000  0.500  0.000 [2 per cell]

=====

Entry 8:
## TlAgPb2 (PBE)

Data for a relaxed structure of TlAgPb2.

* density of states at the Fermi level: 3.206 states/eV per cell
* DFT formation energy: 0.43 eV/f.u.

Cell lengths 4.940, 4.940, 9.012 Å; angles 90.00, 90.00, 90.00 degrees
Space group I4/mmm (No. 139)
Unique sites:
Tl  0.000  0.000  0.000 [2 per cell]
Ag  0.000  0.000  0.500 [2 per cell]
Pb  0.000  0.500  0.250 [4 per cell]